DFT (GGA-PBE) results for a geometry-optimized ZrTl2Cu structure.

```
4
Lattice="3.349 0.000 0.000 0.000 3.349 0.000 0.000 0.000 7.451" Properties=species:S:1:pos:R:3 pbc="T T T"
Zr 0.000 0.000 0.000
Tl 1.675 1.675 2.074
Tl 1.675 1.675 5.376
Cu 0.000 0.000 3.725
```

Energy above the most stable polymorph in this dataset: 86.7 meV per atom
Space group: P4/mmm (123)
Total moment: 0.00 μB/f.u.
Formation energy from the elements: 164 meV/atom

=====

DFT (GGA-PBE) results for a geometry-optimized La2PbCl structure.

```
4
Lattice="0.000 3.895 3.895 3.895 0.000 3.895 3.895 3.895 0.000" Properties=species:S:1:pos:R:3 pbc="T T T"
La 1.947 1.947 1.947
La 5.842 5.842 5.842
Pb 0.000 0.000 0.000
Cl 3.895 3.895 3.895
```

Energy above the most stable polymorph in this dataset: 106.3 meV per atom
Raw formation energy: -1000 meV/atom
Space group: Fm-3m (225)
Total moment: 0.00 μB/f.u.

=====

DFT (GGA-PBE) results for a geometry-optimized Na4Mg structure.

```
5
Lattice="6.055 0.000 0.000 0.000 6.055 0.000 0.000 0.000 6.055" Properties=species:S:1:pos:R:3 pbc="T T T"
Na 0.000 0.000 0.000
Na 0.000 3.028 3.028
Na 3.028 0.000 3.028
Na 3.028 3.028 0.000
Mg 3.028 3.028 3.028
```

Energy above the most stable polymorph in this dataset: 200.1 meV per atom
Space group: Pm-3m (221)
Total moment: 0.00 μB/f.u.
Formation energy from the elements: 272 meV/atom